A geometry-optimized LaMn4Cu3O12 structure, computed with GGA+U.

a = 6.482 Å, b = 6.482 Å, c = 6.482 Å
α = 109.47°, β = 109.47°, γ = 109.47°
Fractional positions:
1 La 0.000 0.000 0.000
2 Mn 0.000 0.000 0.500
3 Mn 0.000 0.500 0.000
4 Mn 0.500 0.000 0.000
5 Mn 0.500 0.500 0.500
6 Cu 0.000 0.500 0.500
7 Cu 0.500 0.000 0.500
8 Cu 0.500 0.500 0.000
9 O 0.138 0.309 0.829
10 O 0.171 0.480 0.309
11 O 0.171 0.862 0.691
12 O 0.309 0.171 0.480
13 O 0.309 0.829 0.138
14 O 0.480 0.309 0.171
15 O 0.520 0.691 0.829
16 O 0.691 0.171 0.862
17 O 0.691 0.829 0.520
18 O 0.829 0.138 0.309
19 O 0.829 0.520 0.691
20 O 0.862 0.691 0.171

Summary:
Electronic total energy ... -135.22 eV per formula unit